# 1
{
  "formula": "BiHS2Cl",
  "functional": "meta-GGA SCAN",
  "state": "PBEsol geometry",
  "total_energy_ev_per_cell": -105.59,
  "dos_ef_per_ev_cell": 5.04,
  "lattice_angstrom": [[5.167, 0.000, 0.000], [0.000, 5.167, 0.000], [0.000, 0.000, 5.384]],
  "species": ["Cl", "S", "S", "Bi", "H"],
  "fractional_positions": [[0.000, 0.000, 0.500], [0.500, 0.000, 0.000], [0.000, 0.500, 0.000], [0.000, 0.000, 0.000], [0.500, 0.500, 0.500]]
}


# 2
{
  "formula": "Cd2AsSe",
  "functional": "meta-GGA SCAN",
  "state": "PBEsol geometry",
  "formation_energy_uncorrected_mev_per_atom": 11,
  "total_energy_ev_per_cell": -101.05,
  "dos_ef_per_ev_cell": 1.03,
  "lattice_angstrom": [[3.645, 0.000, 0.000], [0.000, 3.645, 0.000], [0.000, 0.000, 7.216]],
  "species": ["Cd", "Cd", "Se", "As"],
  "fractional_positions": [[0.500, 0.500, 0.218], [0.000, 0.000, 0.035], [0.000, 0.000, 0.660], [0.500, 0.500, 0.587]]
}


# 3
{
  "formula": "BiTePS2",
  "functional": "meta-GGA SCAN",
  "state": "PBEsol geometry",
  "formation_energy_uncorrected_mev_per_atom": 673,
  "total_energy_ev_per_cell": -142.12,
  "dos_ef_per_ev_cell": 2.50,
  "lattice_angstrom": [[4.926, 0.000, 0.000], [0.000, 4.926, 0.000], [0.000, 0.000, 5.062]],
  "species": ["S", "S", "P", "Te", "Bi"],
  "fractional_positions": [[0.500, 0.000, 0.000], [0.000, 0.500, 0.000], [0.000, 0.000, 0.500], [0.000, 0.000, 0.000], [0.500, 0.500, 0.500]]
}


# 4
{
  "formula": "SiOsPt",
  "functional": "meta-GGA SCAN",
  "state": "PBEsol geometry",
  "formation_energy_uncorrected_mev_per_atom": -412,
  "total_energy_ev_per_cell": -153.32,
  "dos_ef_per_ev_cell": 1.80,
  "lattice_angstrom": [[3.984, 0.000, 0.000], [1.992, 3.450, 0.000], [1.992, 1.150, 3.253]],
  "species": ["Si", "Pt", "Os"],
  "fractional_positions": [[0.250, 0.250, 0.250], [0.500, 0.500, 0.500], [0.000, 0.000, 0.000]]
}